Record 1
DFT (GGA-PBE) results for an optimized crystal structure of TmNb3O6.

a = 3.0624 Å, b = 9.2570 Å, c = 8.8574 Å
α = 108.44°, β = 90.00°, γ = 90.00°
Closest atoms and distances in Å follow each position.
Fractional positions:
O 0.2500 0.2500 0.3182  3 Nb 2.13-2.14
Tm 0.2500 0.3664 0.1100  8 O 2.25-2.43
O 0.2500 0.0725 0.7722  3 Nb 2.08-2.10
O 0.2500 0.8209 0.9310  3 Nb 2.22-2.26, 2 Tm 2.25
O 0.7500 0.3771 0.9005  2 Nb 2.25, 3 Tm 2.41-2.43
Nb 0.7500 0.3620 0.4812  4 O 2.12-2.28
O 0.7500 0.9275 0.2278  3 Nb 2.08-2.10
O 0.7500 0.1746 0.5698  3 Nb 2.01-2.12
Nb 0.2500 0.6380 0.5188  4 O 2.12-2.28
Tm 0.7500 0.6336 0.8900  8 O 2.25-2.43
O 0.7500 0.4965 0.3056  2 Nb 2.20-2.28, 2 Tm 2.34
O 0.7500 0.1791 0.0690  3 Nb 2.22-2.26, 2 Tm 2.25
Nb 0.2500 0.2721 0.7117  4 O 2.01-2.20
Nb 0.2500 0.0322 0.1384  6 O 2.10-2.26
O 0.2500 0.5035 0.6944  2 Nb 2.20-2.28, 2 Tm 2.34
Nb 0.7500 0.9678 0.8616  6 O 2.10-2.26
O 0.7500 0.7500 0.6818  3 Nb 2.13-2.14
O 0.2500 0.6229 0.0995  2 Nb 2.25, 3 Tm 2.41-2.43
O 0.2500 0.8254 0.4302  3 Nb 2.01-2.12
Nb 0.7500 0.7279 0.2883  4 O 2.01-2.20

Values from the calculation:
* raw formation energy: -2.439 eV/atom
* total moment: 0.0 μB per formula unit
* SG: P2_1/m (11)
* energy: -8.8822 eV/atom


Record 2
DFT (GGA-PBE) results for an optimized crystal structure of Tm2Nb2O7.

a = 7.2685 Å, b = 7.2685 Å, c = 7.2685 Å
α = 60.00°, β = 60.00°, γ = 60.00°
Closest atoms and distances in Å follow each position.
Fractional positions:
O 0.4734 0.4734 0.0266  2 Nb 2.08
O 0.4734 0.0266 0.4734  2 Nb 2.08
Tm 0.1250 0.6250 0.6250  8 O 2.23-2.39
Nb 0.1250 0.1250 0.1250  6 O 2.08
Tm 0.6250 0.6250 0.6250  8 O 2.23-2.39
O 0.0266 0.0266 0.4734  2 Nb 2.08
O 0.7766 0.2234 0.2234  2 Nb 2.08
Tm 0.6250 0.1250 0.6250  8 O 2.23-2.39
O 0.0266 0.4734 0.4734  2 Nb 2.08
O 0.7766 0.7766 0.2234  2 Nb 2.08
Nb 0.6250 0.1250 0.1250  6 O 2.08
Nb 0.1250 0.6250 0.1250  6 O 2.08
O 0.2234 0.7766 0.7766  2 Nb 2.08
O 0.2234 0.2234 0.7766  2 Nb 2.08
O 0.7766 0.2234 0.7766  2 Nb 2.08
O 0.2234 0.7766 0.2234  2 Nb 2.08
Tm 0.6250 0.6250 0.1250  8 O 2.23-2.39
O 0.7500 0.7500 0.7500  4 Tm 2.23
O 0.0266 0.4734 0.0266  2 Nb 2.08
O 0.4734 0.0266 0.0266  2 Nb 2.08
Nb 0.1250 0.1250 0.6250  6 O 2.08
O 0.5000 0.5000 0.5000  4 Tm 2.23

Values from the calculation:
* raw formation energy: -2.971 eV/atom
* total moment: 0.1 μB per formula unit
* SG: Fd-3m (227)
* energy: -8.7702 eV/atom


Record 3
DFT (GGA-PBE) results for an optimized crystal structure of TmNbO4.

a = 4.9746 Å, b = 5.8494 Å, c = 5.8808 Å
α = 111.71°, β = 90.00°, γ = 90.00°
Closest atoms and distances in Å follow each position.
Fractional positions:
O 0.2101 0.3225 0.1286  2 Nb 2.04-2.08
Tm 0.5000 0.0000 0.5000  6 O 2.20-2.29
O 0.7899 0.6775 0.8714  2 Nb 2.04-2.08
Nb 0.0000 0.0000 0.0000  6 O 1.97-2.08
O 0.7101 0.1775 0.8714  2 Nb 2.04-2.08
O 0.2899 0.8225 0.1286  2 Nb 2.04-2.08
Tm 0.0000 0.5000 0.5000  6 O 2.20-2.29
O 0.6687 0.6251 0.3262  1 Nb 1.97, 1 Tm 2.20
Nb 0.5000 0.5000 0.0000  6 O 1.97-2.08
O 0.8313 0.1251 0.3262  1 Nb 1.97, 1 Tm 2.20
O 0.1687 0.8749 0.6738  1 Nb 1.97, 1 Tm 2.20
O 0.3313 0.3749 0.6738  1 Nb 1.97, 1 Tm 2.20

Values from the calculation:
* raw formation energy: -3.045 eV/atom
* total moment: 0.0 μB per formula unit
* SG: P2_1/c (14)
* energy: -8.7741 eV/atom


Record 4
DFT (GGA-PBE) results for an optimized crystal structure of Tm2NbO6.

a = 5.0084 Å, b = 5.0084 Å, c = 9.9815 Å
α = 90.00°, β = 90.00°, γ = 90.00°
Closest atoms and distances in Å follow each position.
Fractional positions:
O 0.1886 0.8114 0.1512  1 Nb 2.02, 2 Tm 2.21-2.24
Tm 0.0000 0.0000 0.3312  6 O 2.21-2.26
O 0.7129 0.7129 0.0000  1 Nb 2.03, 2 Tm 2.26
O 0.6886 0.6886 0.3488  1 Nb 2.02, 2 Tm 2.21-2.24
O 0.2871 0.2871 0.0000  1 Nb 2.03, 2 Tm 2.26
Nb 0.0000 0.0000 0.0000  6 O 2.02-2.03
O 0.8114 0.1886 0.1512  1 Nb 2.02, 2 Tm 2.21-2.24
O 0.6886 0.6886 0.6512  1 Nb 2.02, 2 Tm 2.21-2.24
Tm 0.5000 0.5000 0.1688  6 O 2.21-2.26
O 0.7871 0.2129 0.5000  1 Nb 2.03, 2 Tm 2.26
O 0.3114 0.3114 0.6512  1 Nb 2.02, 2 Tm 2.21-2.24
O 0.3114 0.3114 0.3488  1 Nb 2.02, 2 Tm 2.21-2.24
Tm 0.5000 0.5000 0.8312  6 O 2.21-2.26
Nb 0.5000 0.5000 0.5000  6 O 2.02-2.03
O 0.1886 0.8114 0.8488  1 Nb 2.02, 2 Tm 2.21-2.24
Tm 0.0000 0.0000 0.6688  6 O 2.21-2.26
O 0.2129 0.7871 0.5000  1 Nb 2.03, 2 Tm 2.26
O 0.8114 0.1886 0.8488  1 Nb 2.02, 2 Tm 2.21-2.24

Values from the calculation:
* raw formation energy: -2.941 eV/atom
* total moment: 1.0 μB per formula unit
* SG: P4_2/mnm (136)
* energy: -8.3595 eV/atom


Record 5
DFT (GGA-PBE) results for an optimized crystal structure of Tm5Nb2O12.

a = 5.8430 Å, b = 6.7871 Å, c = 7.3492 Å
α = 105.79°, β = 90.00°, γ = 115.50°
Closest atoms and distances in Å follow each position.
Fractional positions:
Tm 0.6901 0.3803 0.8211  7 O 2.27-2.47
Tm 0.0000 0.0000 0.5000  6 O 2.21-2.32
O 0.4360 0.3370 0.0884  1 Nb 1.97
Tm 0.3099 0.6197 0.1789  7 O 2.27-2.47
Nb 0.7584 0.0000 0.0000  6 O 1.97-2.11
Tm 0.3004 0.6009 0.6360  7 O 2.25-2.39
O 0.5953 0.6922 0.4277  4 Tm 2.25-2.32
Nb 0.2416 0.0000 0.0000  6 O 1.97-2.11
O 0.4047 0.3078 0.5723  4 Tm 2.25-2.32
O 0.9977 0.9955 0.1980  2 Nb 2.03, 1 Tm 2.21
O 0.0990 0.6630 0.9116  1 Nb 1.97
O 0.9010 0.3370 0.0884  1 Nb 1.97
O 0.4986 0.9971 0.2007  2 Nb 2.11, 1 Tm 2.27
O 0.0968 0.6922 0.4277  4 Tm 2.25-2.32
O 0.0023 0.0045 0.8020  2 Nb 2.03, 1 Tm 2.21
O 0.5640 0.6630 0.9116  1 Nb 1.97
O 0.5014 0.0029 0.7993  2 Nb 2.11, 1 Tm 2.27
O 0.9032 0.3078 0.5723  4 Tm 2.25-2.32
Tm 0.6996 0.3991 0.3640  7 O 2.25-2.39

Values from the calculation:
* raw formation energy: -3.296 eV/atom
* total moment: 0.0 μB per formula unit
* SG: C2/m (12)
* energy: -8.6640 eV/atom


Record 6
DFT (GGA-PBE) results for an optimized crystal structure of UNb4O12.

a = 8.8582 Å, b = 8.8582 Å, c = 8.8582 Å
α = 143.11°, β = 143.11°, γ = 53.17°
Closest atoms and distances in Å follow each position.
Fractional positions:
O 0.3446 0.3446 0.4682  2 Nb 2.00
O 0.8765 0.8765 0.5318  2 Nb 2.00
O 0.3446 0.8765 0.0000  2 Nb 2.00
U 0.0000 0.0000 0.0000  12 O 2.55-2.80
O 0.1235 0.6554 0.0000  2 Nb 2.00
Nb 0.1269 0.6269 0.5000  6 O 1.95-2.01
Nb 0.6269 0.1269 0.5000  6 O 1.95-2.01
O 0.0000 0.5000 0.5000  2 Nb 2.01
O 0.5000 0.0000 0.5000  2 Nb 2.01
O 0.1235 0.1235 0.4682  2 Nb 2.00
O 0.7500 0.2500 0.5000  2 Nb 1.95
Nb 0.3731 0.8731 0.5000  6 O 1.95-2.01
O 0.2500 0.7500 0.5000  2 Nb 1.95
Nb 0.8731 0.3731 0.5000  6 O 1.95-2.01
O 0.6554 0.1235 0.0000  2 Nb 2.00
O 0.8765 0.3446 0.0000  2 Nb 2.00
O 0.6554 0.6554 0.5318  2 Nb 2.00

Values from the calculation:
* raw formation energy: -2.554 eV/atom
* total moment: 2.0 μB per formula unit
* SG: I4/mmm (139)
* energy: -9.0872 eV/atom


Record 7
DFT (GGA-PBE) results for an optimized crystal structure of UNb2O8.

a = 5.2281 Å, b = 5.4005 Å, c = 5.4005 Å
α = 70.35°, β = 99.98°, γ = 99.98°
Closest atoms and distances in Å follow each position.
Fractional positions:
O 0.3018 0.3604 0.9524  2 Nb 2.03-2.14, 1 U 2.25
O 0.6982 0.0476 0.6396  2 Nb 2.03-2.14, 1 U 2.25
Nb 0.4691 0.6720 0.6720  4 O 1.89-2.10
O 0.2605 0.4402 0.4402  2 Nb 1.89-2.10
O 0.6982 0.6396 0.0476  2 Nb 2.03-2.14, 1 U 2.25
O 0.2088 0.8539 0.8539  1 U 1.86
O 0.7395 0.5598 0.5598  2 Nb 1.89-2.10
O 0.7912 0.1461 0.1461  1 U 1.86
U 0.0000 0.0000 0.0000  2 O 1.86
Nb 0.5309 0.3280 0.3280  4 O 1.89-2.10
O 0.3018 0.9524 0.3604  2 Nb 2.03-2.14, 1 U 2.25

Values from the calculation:
* raw formation energy: -2.691 eV/atom
* total moment: 0.0 μB per formula unit
* SG: C2/m (12)
* energy: -9.1538 eV/atom


Record 8
DFT (GGA-PBE) results for an optimized crystal structure of UNbO2.

a = 3.0365 Å, b = 3.0365 Å, c = 7.3851 Å
α = 78.14°, β = 78.14°, γ = 60.00°
Closest atoms and distances in Å follow each position.
Fractional positions:
O 0.1060 0.1060 0.6820  3 Nb 2.19, 1 U 2.28
O 0.8940 0.8940 0.3180  3 Nb 2.19, 1 U 2.28
U 0.0000 0.0000 0.0000  2 O 2.28
Nb 0.5000 0.5000 0.5000  6 O 2.19

Values from the calculation:
* raw formation energy: -1.651 eV/atom
* total moment: 2.7 μB per formula unit
* SG: R-3m (166)
* energy: -9.4695 eV/atom


Which of these has the highest raw formation energy? UNbO2


What is the raw formation energy in the first record? -2.439 eV/atom


What is the raw formation energy in the first record? -2.439 eV/atom


Which of these has the highest total moment? UNbO2